No. 1
The following is a GGA-PBE calculation of Rb2NaZn2F7 after structural relaxation, from Alexandria.

Cell and atoms, written as CIF:
```
data_Rb2NaZn2F7
_chemical_formula_sum 'Rb2 Na1 Zn2 F7'
_space_group_name_H-M_alt 'P 1'
_space_group_IT_number 1
_cell_length_a 4.1463
_cell_length_b 4.1463
_cell_length_c 11.3402
_cell_angle_alpha 79.46
_cell_angle_beta 79.46
_cell_angle_gamma 90.00
loop_
_space_group_symop_operation_xyz
'x,y,z'
loop_
_atom_site_label
_atom_site_fract_x
_atom_site_fract_y
_atom_site_fract_z
_atom_site_occupancy
F1 0.9122 0.4123 0.1760 1
F2 0.3143 0.3143 0.3714 1
F3 0.5877 0.0878 0.8240 1
F4 0.6857 0.6857 0.6286 1
F5 0.4123 0.9122 0.1760 1
F6 0.0878 0.5877 0.8240 1
F7 0.5000 0.5000 0.0000 1
Rb1 0.8173 0.8173 0.3657 1
Rb2 0.1827 0.1827 0.6343 1
Na1 0.0000 0.0000 0.0000 1
Zn1 0.4084 0.4084 0.1837 1
Zn2 0.5916 0.5916 0.8163 1
```

Computed properties:
The final energy comes out at -49.32 eV per cell. The density of states at the Fermi level is 0.00 states/eV/atom. The uncorrected formation energy comes out at -2.535 eV/atom.

***

No. 2
The following is a GGA-PBE calculation of Rb3NaZn2F8 after structural relaxation, from Alexandria.

Cell and atoms, written as CIF:
```
data_Rb3NaZn2F8
_chemical_formula_sum 'Rb3 Na1 Zn2 F8'
_space_group_name_H-M_alt 'P 1'
_space_group_IT_number 1
_cell_length_a 6.1471
_cell_length_b 6.1471
_cell_length_c 7.9510
_cell_angle_alpha 90.00
_cell_angle_beta 90.00
_cell_angle_gamma 120.00
loop_
_space_group_symop_operation_xyz
'x,y,z'
loop_
_atom_site_label
_atom_site_fract_x
_atom_site_fract_y
_atom_site_fract_z
_atom_site_occupancy
F1 0.6667 0.3333 0.0273 1
F2 0.1697 0.8303 0.3178 1
F3 0.1697 0.3393 0.3178 1
F4 0.6607 0.8303 0.3178 1
F5 0.8303 0.6607 0.6822 1
F6 0.8303 0.1697 0.6822 1
F7 0.3333 0.6667 0.9727 1
F8 0.3393 0.1697 0.6822 1
Zn1 0.3333 0.6667 0.2091 1
Zn2 0.6667 0.3333 0.7909 1
Rb1 0.6667 0.3333 0.3602 1
Rb2 0.0000 0.0000 0.0000 1
Rb3 0.3333 0.6667 0.6398 1
Na1 0.0000 0.0000 0.5000 1
```

Computed properties:
The final energy comes out at -57.79 eV per cell. The density of states at the Fermi level is 0.00 states/eV/atom. The uncorrected formation energy comes out at -2.575 eV/atom.

***

No. 3
The following is a GGA-PBE calculation of Rb4NaZn3F12 after structural relaxation, from Alexandria.

Cell and atoms, written as CIF:
```
data_Rb4NaZn3F12
_chemical_formula_sum 'Rb4 Na1 Zn3 F12'
_space_group_name_H-M_alt 'P 1'
_space_group_IT_number 1
_cell_length_a 7.3493
_cell_length_b 7.3493
_cell_length_c 7.3493
_cell_angle_alpha 109.47
_cell_angle_beta 109.47
_cell_angle_gamma 109.47
loop_
_space_group_symop_operation_xyz
'x,y,z'
loop_
_atom_site_label
_atom_site_fract_x
_atom_site_fract_y
_atom_site_fract_z
_atom_site_occupancy
Na1 0.0000 0.0000 0.0000 1
Rb1 0.5000 0.0000 0.0000 1
Rb2 0.0000 0.5000 0.0000 1
Rb3 0.5000 0.5000 0.5000 1
Rb4 0.0000 0.0000 0.5000 1
F1 0.2717 0.0000 0.2717 1
F2 0.7500 0.5000 0.2500 1
F3 0.0000 0.7283 0.7283 1
F4 0.7283 0.0000 0.7283 1
F5 0.7283 0.7283 0.0000 1
F6 0.5000 0.2500 0.7500 1
F7 0.2500 0.5000 0.7500 1
F8 0.2717 0.2717 0.0000 1
F9 0.0000 0.2717 0.2717 1
F10 0.5000 0.7500 0.2500 1
F11 0.2500 0.7500 0.5000 1
F12 0.7500 0.2500 0.5000 1
Zn1 0.5000 0.5000 0.0000 1
Zn2 0.5000 0.0000 0.5000 1
Zn3 0.0000 0.5000 0.5000 1
```

Computed properties:
The final energy comes out at -81.36 eV per cell. The density of states at the Fermi level is 0.47 states/eV/atom. The uncorrected formation energy comes out at -2.495 eV/atom.